1.
Here is a crystal of Li3MoC relaxed with PBEsol from the Alexandria database. Energies are from SCAN.

## Properties
The calculated density comes out at 1.6 g cm⁻³. Its space group is No. 221. As for the density of states at the Fermi level: 2.5 states/eV/cell. The size of the total moment comes out at 7.0 μB per formula unit. The total energy is -8.013 eV per atom.

Cell lengths 5.103, 5.103, 5.103 Å; angles 90.00, 90.00, 90.00 degrees
Last column: magnetic moment on the atom in μB.
Atoms (fractional coordinates):
Mo (0.000, 0.000, 0.000)  4.01
Li (0.500, 0.000, 0.000)  0.03
Li (0.000, 0.500, 0.000)  0.03
Li (0.000, 0.000, 0.500)  0.03
C (0.500, 0.500, 0.500)  0.96

2.
Here is a crystal of Mg2NiMo relaxed with PBEsol from the Alexandria database. Energies are from SCAN.

## Properties
The calculated density comes out at 5.5 g cm⁻³. Its space group is No. 65. As for the density of states at the Fermi level: 3.3 states/eV/cell. The size of the total moment comes out at 1.0 μB per formula unit. The total energy is -14.909 eV per atom. The calculation puts the energy above the most stable polymorph in this dataset at 32 meV per atom.

Cell lengths 2.624, 5.110, 5.110 Å; angles 116.13, 90.00, 90.00 degrees
Last column: magnetic moment on the atom in μB.
Atoms (fractional coordinates):
Mg (0.000, 0.000, 0.500)  0.00
Mg (0.000, 0.500, 0.000)  0.00
Ni (0.500, 0.500, 0.500)  0.50
Mo (0.500, 0.000, 0.000)  0.51

3.
Here is a crystal of BaSr2Ca relaxed with PBEsol from the Alexandria database. Energies are from SCAN.

## Properties
The calculated density comes out at 2.9 g cm⁻³. Its space group is No. 47. As for the density of states at the Fermi level: 4.2 states/eV/cell. The size of the total moment comes out at 0.1 μB per formula unit. The total energy is -23.408 eV per atom. The calculation puts the energy above the most stable polymorph in this dataset at 7 meV per atom.

Cell lengths 4.649, 6.548, 6.555 Å; angles 90.00, 90.00, 90.00 degrees
Atoms (fractional coordinates):
Sr (0.000, 0.000, 0.000)
Sr (0.500, 0.500, 0.000)
Ba (0.500, 0.000, 0.500)
Ca (0.000, 0.500, 0.500)

4.
Here is a crystal of Sc2SbTe relaxed with PBEsol from the Alexandria database. Energies are from SCAN.

## Properties
The calculated density comes out at 5.8 g cm⁻³. Its space group is No. 166. As for the density of states at the Fermi level: 1.8 states/eV/cell. The size of the total moment comes out at 0.0 μB per formula unit. The total energy is -26.897 eV per atom. The calculation puts the energy above the most stable polymorph in this dataset at 0 meV per atom.

Cell lengths 4.103, 4.103, 7.124 Å; angles 73.26, 73.26, 60.00 degrees
Atoms (fractional coordinates):
Sc (0.753, 0.753, 0.740)
Sc (0.247, 0.247, 0.260)
Sb (0.500, 0.500, 0.500)
Te (0.000, 0.000, 0.000)

5.
Here is a crystal of Mg3Si4O12 relaxed with PBEsol from the Alexandria database. Energies are from SCAN.

## Properties
The calculated density comes out at 2.7 g cm⁻³. Its space group is No. 2. The size of the total moment comes out at 2.0 μB per formula unit. The total energy is -9.628 eV per atom.

Cell lengths 5.289, 5.357, 9.678 Å; angles 81.66, 85.85, 60.48 degrees
Last column: magnetic moment on the atom in μB.
Atoms (fractional coordinates):
O (0.009, 0.197, 0.883)  0.01
O (0.644, 0.477, 0.088)  0.78
O (0.831, 0.099, 0.655)  0.01
O (0.660, 0.919, 0.345)  0.01
O (0.356, 0.523, 0.912)  0.78
O (0.150, 0.411, 0.343)  0.01
O (0.340, 0.081, 0.655)  0.01
O (0.850, 0.589, 0.657)  0.01
O (0.169, 0.901, 0.345)  0.01
O (0.325, 0.136, 0.117)  0.01
O (0.675, 0.864, 0.883)  0.01
O (0.991, 0.803, 0.117)  0.01
Si (0.326, 0.093, 0.288)  0.00
Si (0.006, 0.243, 0.712)  0.00
Si (0.674, 0.907, 0.712)  0.00
Si (0.994, 0.757, 0.288)  0.00
Mg (0.000, 0.500, 0.000)  0.00
Mg (0.677, 0.147, 0.000)  -0.01
Mg (0.323, 0.853, 0.000)  -0.01

6.
Here is a crystal of TiHN2O relaxed with PBEsol from the Alexandria database. Energies are from SCAN.

## Properties
The calculated density comes out at 2.5 g cm⁻³. Its space group is No. 123. As for the density of states at the Fermi level: 1.3 states/eV/cell. The size of the total moment comes out at 3.0 μB per formula unit. The total energy is -8.420 eV per atom.

Cell lengths 3.741, 4.024, 4.024 Å; angles 90.00, 90.00, 90.00 degrees
Last column: magnetic moment on the atom in μB.
Atoms (fractional coordinates):
O (0.500, 0.000, 0.000)  0.41
H (0.500, 0.500, 0.500)  -0.31
Ti (0.000, 0.000, 0.000)  -0.21
N (0.000, 0.000, 0.500)  1.21
N (0.000, 0.500, 0.000)  1.21

7.
Here is a crystal of SrCrIr2 relaxed with PBEsol from the Alexandria database. Energies are from SCAN.

## Properties
The calculated density comes out at 12.8 g cm⁻³. Its space group is No. 65. As for the density of states at the Fermi level: 2.8 states/eV/cell. The size of the total moment comes out at 3.2 μB per formula unit. The total energy is -45.358 eV per atom. The calculation puts the energy above the most stable polymorph in this dataset at 416 meV per atom.

Cell lengths 2.894, 4.938, 4.938 Å; angles 106.20, 90.00, 90.00 degrees
Last column: magnetic moment on the atom in μB.
Atoms (fractional coordinates):
Ir (0.000, 0.500, 0.000)  -0.25
Ir (0.000, 0.000, 0.500)  -0.25
Cr (0.500, 0.500, 0.500)  3.38
Sr (0.500, 0.000, 0.000)  0.02

8.
Here is a crystal of ReTeRu2 relaxed with PBEsol from the Alexandria database. Energies are from SCAN.

## Properties
The calculated density comes out at 13.8 g cm⁻³. Its space group is No. 47. As for the density of states at the Fermi level: 3.5 states/eV/cell. The size of the total moment comes out at 0.0 μB per formula unit. The total energy is -44.074 eV per atom.

Cell lengths 2.908, 3.737, 5.718 Å; angles 90.00, 89.99, 90.00 degrees
Atoms (fractional coordinates):
Ru (0.000, 0.000, 0.272)
Ru (0.000, 0.000, 0.728)
Te (0.500, 0.500, 0.000)
Re (0.500, 0.500, 0.500)

9.
Here is a crystal of LaZrS2 relaxed with PBEsol from the Alexandria database. Energies are from SCAN.

## Properties
The calculated density comes out at 5.0 g cm⁻³. Its space group is No. 166. As for the density of states at the Fermi level: 2.7 states/eV/cell. The size of the total moment comes out at 0.0 μB per formula unit. The total energy is -24.768 eV per atom.

Cell lengths 3.629, 3.629, 8.858 Å; angles 78.18, 78.18, 60.00 degrees
Atoms (fractional coordinates):
La (0.000, 0.000, 0.000)
S (0.108, 0.108, 0.675)
S (0.892, 0.892, 0.325)
Zr (0.500, 0.500, 0.500)

10.
Here is a crystal of LaTaBi2 relaxed with PBEsol from the Alexandria database. Energies are from SCAN.

## Properties
The calculated density comes out at 12.2 g cm⁻³. Its space group is No. 225. As for the density of states at the Fermi level: 4.0 states/eV/cell. The size of the total moment comes out at 0.0 μB per formula unit. The total energy is -66.714 eV per atom.

Cell lengths 5.222, 5.222, 5.222 Å; angles 60.00, 60.00, 60.00 degrees
Atoms (fractional coordinates):
Bi (0.250, 0.250, 0.250)
Bi (0.750, 0.750, 0.750)
La (0.000, 0.000, 0.000)
Ta (0.500, 0.500, 0.500)

11.
Here is a crystal of SiAsP2 relaxed with PBEsol from the Alexandria database. Energies are from SCAN.

## Properties
The calculated density comes out at 4.5 g cm⁻³. Its space group is No. 123. As for the density of states at the Fermi level: 1.9 states/eV/cell. The size of the total moment comes out at 0.0 μB per formula unit. The total energy is -12.030 eV per atom.

Cell lengths 3.122, 4.403, 4.403 Å; angles 90.00, 90.00, 90.00 degrees
Atoms (fractional coordinates):
P (0.000, 0.000, 0.500)
P (0.000, 0.500, 0.000)
As (0.500, 0.000, 0.000)
Si (0.500, 0.500, 0.500)

12.
Here is a crystal of LaZrMn2 relaxed with PBEsol from the Alexandria database. Energies are from SCAN.

## Properties
The calculated density comes out at 7.3 g cm⁻³. Its space group is No. 123. As for the density of states at the Fermi level: 4.3 states/eV/cell. The size of the total moment comes out at 5.9 μB per formula unit. The total energy is -27.593 eV per atom. The calculation puts the energy above the most stable polymorph in this dataset at 0 meV per atom.

Cell lengths 3.362, 3.362, 6.873 Å; angles 90.00, 90.00, 90.00 degrees
Last column: magnetic moment on the atom in μB.
Atoms (fractional coordinates):
Mn (0.000, 0.000, 0.199)  3.45
Mn (0.000, 0.000, 0.801)  3.45
Zr (0.500, 0.500, 0.000)  -0.66
La (0.500, 0.500, 0.500)  -0.18